Density functional theory data (PBE) for an optimized crystal structure of Sc3TaN4.

## Properties
* ΔE_f (raw): -12.99 eV per formula unit
* energy above the lowest structure with this stoichiometry: 0.1468 eV/atom
* raw total energy: -0.3543 Ha/atom

abc: 4.462 6.419 7.383
angles: 90.00 90.00 90.00
Positions (direct):
Sc1 0.564 0.839 0.000
Sc2 0.564 0.332 0.250
Sc3 0.564 0.332 0.750
Sc4 0.064 0.668 0.250
Sc5 0.064 0.161 0.500
Sc6 0.064 0.668 0.750
Ta1 0.564 0.831 0.500
Ta2 0.064 0.169 0.000
N1 0.564 0.673 0.742
N2 0.064 0.830 0.500
N3 0.564 0.673 0.258
N4 0.564 0.170 0.000
N5 0.564 0.148 0.500
N6 0.064 0.327 0.242
N7 0.064 0.327 0.758
N8 0.064 0.852 0.000